Run A
NdSm8Y2 (GGA-PBE, optimized geometry); SG = No. 12; ρ = 6.8 g cm⁻³
1.0
-2.2318 -0.7167 -4.5569
2.4020 -7.7423 0.0413
-7.1745 0.3526 6.3398
Nd Sm Y
1 8 2
Cartesian
-1.1159 -0.3584 -2.2784 Nd
-1.5340 -3.8857 -1.5189 Sm
-5.0541 -0.7058 2.5864 Sm
-1.8319 -1.4199 1.1205 Sm
0.9874 -5.6261 0.4013 Sm
-5.1724 -6.6866 0.7036 Sm
-1.9502 -7.4006 -0.7622 Sm
-5.4704 -4.2207 3.3431 Sm
-7.9918 -2.4803 1.4229 Sm
-2.2420 -4.9264 1.8729 Y
-4.7623 -3.1801 -0.0487 Y


Run B
NdSm8Y2 (GGA-PBE, optimized geometry); SG = No. 12; ρ = 6.6 g cm⁻³
1.0
-2.3396 5.1372 0.4508
-6.1590 -2.7463 -7.8190
-9.0812 -4.6152 -1.6868
Nd Sm Y
1 8 2
Cartesian
0.0000 0.0000 0.0000 Nd
-6.9134 -1.7588 -1.9456 Sm
-5.5525 -0.8884 -4.8016 Sm
-10.6663 -0.4655 -7.1095 Sm
-8.8624 -2.7937 -5.0746 Sm
-12.0272 -1.3359 -4.2535 Sm
-3.3953 -0.1958 -1.6776 Sm
-14.1844 -2.0285 -7.3775 Sm
-8.7173 0.5693 -3.9805 Sm
-6.0773 1.7379 -2.3663 Y
-11.5024 -3.9623 -6.6887 Y


What should be chosen as the least stable of them? Choose run B.


Run A
Nd4Sm3Y8 (GGA-PBE, optimized geometry); SG = No. 12; ρ = 5.6 g cm⁻³
1.0
-5.4490 -0.5096 4.0693
7.9620 -1.4128 4.7602
2.7147 8.9296 -0.9712
Nd Sm Y
4 3 8
Cartesian
-2.7245 -0.2548 2.0346 Nd
3.9810 -0.7064 2.3801 Nd
0.0000 0.0000 0.0000 Nd
1.3573 4.4648 -0.4856 Nd
1.2565 -0.9612 4.4148 Sm
-1.3672 4.2100 1.5491 Sm
2.6139 3.5036 3.9292 Sm
-0.0073 1.7372 3.1414 Y
6.0793 2.2980 2.7038 Y
2.8331 2.0127 1.0381 Y
3.8991 0.9705 5.3329 Y
1.3286 6.0367 2.5254 Y
2.3946 4.9945 6.8202 Y
4.5974 5.2188 1.0852 Y
5.2350 5.2701 4.7170 Y


Run B
Nd4Sm3Y8 (GGA-PBE, optimized geometry); SG = No. 166; ρ = 5.6 g cm⁻³
1.0
-2.9742 -2.8886 5.6933
-5.2927 -4.5879 -0.7363
5.0785 -11.4566 1.1967
Nd Sm Y
4 3 8
Cartesian
0.0000 0.0000 0.0000 Nd
2.2580 -13.8745 2.8528 Nd
-1.5942 -9.4666 3.0768 Nd
-5.4463 -5.0586 3.3009 Nd
1.0522 -7.1726 3.4450 Sm
2.5393 -5.7283 0.5983 Sm
-0.1071 -8.0223 0.2302 Sm
-0.6916 -4.8540 1.5323 Y
-3.4394 -7.0310 1.1649 Y
-4.9303 -8.4790 4.0188 Y
-2.2772 -6.1792 4.3879 Y
-2.4967 -14.0792 4.6214 Y
0.2511 -11.9021 4.9887 Y
1.7419 -10.4542 2.1349 Y
-0.9111 -12.7540 1.7658 Y


What should be chosen as the least stable of them? Choose run A.


Run A
NdSm2Y8 (GGA-PBE, optimized geometry); SG = No. 12; ρ = 5.1 g cm⁻³
1.0
5.5766 -0.4714 -0.3293
0.4867 9.8605 2.5897
0.4867 5.8249 8.3669
Nd Sm Y
1 2 8
Cartesian
0.0000 0.0000 0.0000 Nd
4.4615 4.1054 2.8677 Sm
2.0885 11.1087 7.7597 Sm
1.8595 4.7056 5.3010 Y
1.8595 6.5966 2.5939 Y
4.6905 10.5084 5.3264 Y
1.8507 8.4679 5.9151 Y
4.6905 8.6174 8.0335 Y
1.4821 2.8256 1.9737 Y
5.0679 12.3885 8.6536 Y
4.6992 6.7461 4.7123 Y


Run B
NdSm2Y8 (GGA-PBE, optimized geometry); SG = No. 12; ρ = 5.2 g cm⁻³
1.0
6.5261 0.2793 -1.5204
-0.9879 5.8084 -3.1731
0.6493 1.1120 8.8900
Nd Sm Y
1 2 8
Cartesian
0.0000 0.0000 0.0000 Nd
2.0983 2.0537 3.1061 Sm
4.0892 5.1461 1.0905 Sm
4.2450 2.0843 5.8507 Y
2.4124 2.3523 -0.1447 Y
5.2963 1.8694 1.7732 Y
0.8912 5.3303 2.4233 Y
3.7751 4.8474 4.3412 Y
1.9424 5.1154 -1.6542 Y
0.7618 3.3336 5.8651 Y
5.4257 3.8661 -1.6686 Y


What should be chosen as the least stable of them? Choose run B.


Run A
Nd7Sm3Y (GGA-PBE, optimized geometry); SG = No. 2; ρ = 6.6 g cm⁻³
1.0
10.0351 -1.1092 -1.6560
-3.0014 6.1498 -0.1786
-0.2207 0.8617 6.5940
Nd Sm Y
7 3 1
Cartesian
5.5121 5.2952 3.7983 Nd
6.7959 2.9180 1.3827 Nd
4.8856 1.3215 -0.9302 Nd
1.9275 4.5808 5.6896 Nd
4.9072 -0.1238 2.4690 Nd
0.0171 2.9843 3.3766 Nd
1.3009 0.6071 0.9610 Nd
-0.9957 6.4498 4.2197 Sm
-1.5007 3.0749 -0.0893 Sm
7.8087 -0.5476 0.5397 Sm
3.4065 2.9511 2.3797 Y


Run B
Nd7Sm3Y (GGA-PBE, optimized geometry); SG = No. 12; ρ = 6.6 g cm⁻³
1.0
5.9702 -0.2102 -0.2692
-2.6546 8.1304 1.1448
-2.6546 -0.8605 8.1654
Nd Sm Y
7 3 1
Cartesian
0.1435 1.4723 1.8855 Nd
0.1985 -0.5111 4.8053 Nd
0.4625 2.2739 8.3719 Nd
0.1985 4.7859 0.6691 Nd
-2.6546 3.6350 4.6551 Nd
0.4625 7.5708 4.2357 Nd
0.5175 5.5875 7.1555 Nd
-2.6546 6.2665 2.6002 Sm
2.9851 -0.1051 -0.1346 Sm
-2.6546 1.0035 6.7099 Sm
0.3305 3.5299 4.5205 Y


What should be chosen as the least stable of them? Choose run B.


Run A
Nd5Sm2Y5 (GGA-PBE, optimized geometry); SG = No. 12; ρ = 6.0 g cm⁻³
1.0
-4.1790 -2.7991 -1.0297
6.3428 -5.0040 0.6596
-4.6570 3.2952 9.9429
Nd Sm Y
5 2 5
Cartesian
-4.4180 0.2480 4.4566 Nd
-5.3262 -0.2398 9.4684 Nd
-2.5429 -1.6470 1.9978 Nd
0.0497 -2.8608 7.5750 Nd
2.8330 -4.2681 0.1044 Nd
-2.7834 1.4064 7.4734 Sm
0.2902 -5.9142 2.0994 Sm
-0.9077 -0.4946 5.0284 Y
-3.4534 -2.1288 7.0028 Y
0.9602 -2.3791 2.5700 Y
-1.5855 -4.0133 4.5444 Y
0.0000 0.0000 0.0000 Y


Run B
Nd5Sm2Y5 (GGA-PBE, optimized geometry); SG = No. 12; ρ = 6.0 g cm⁻³
1.0
-3.9101 2.3366 -3.6842
-0.6593 -5.1016 -7.1938
-8.5060 -0.7314 3.9057
Nd Sm Y
5 2 5
Cartesian
-6.0894 0.3269 -2.6458 Nd
-10.6645 0.3054 -2.4618 Nd
-2.4109 -3.8018 -4.5105 Nd
-6.9860 -3.8234 -4.3265 Nd
0.0000 0.0000 0.0000 Nd
-8.3774 -2.1564 -1.7924 Sm
-4.6979 -1.3401 -5.1799 Sm
-4.5826 -2.9165 -1.6441 Y
-10.9883 -2.9223 -4.1653 Y
-4.2618 0.4936 0.1782 Y
-8.8136 -3.9901 -7.1505 Y
-2.0871 -0.5741 -2.8070 Y


What should be chosen as the least stable of them? Choose run B.


Run A
Nd6SmY2 (GGA-PBE, optimized geometry); SG = No. 12; ρ = 6.3 g cm⁻³
1.0
6.2890 -0.0257 -0.0149
0.0392 7.5887 0.0113
0.0392 3.7906 6.5741
Nd Sm Y
6 1 2
Cartesian
1.8833 5.9223 5.3395 Nd
1.8990 9.2306 5.3420 Nd
1.8833 7.5802 2.4747 Nd
4.4840 5.4313 1.2311 Nd
4.4684 2.1229 1.2286 Nd
4.4840 3.7733 4.0959 Nd
0.0000 0.0000 0.0000 Sm
5.0070 7.5631 4.3769 Y
1.3604 3.7905 2.1936 Y


Run B
Nd6SmY2 (GGA-PBE, optimized geometry); SG = No. 15; ρ = 6.3 g cm⁻³
1.0
6.9649 3.5342 5.3179
3.9693 12.0814 7.2676
2.5482 6.2780 12.9857
Nd Sm Y
12 2 4
Cartesian
9.7861 14.2639 16.3633 Nd
7.3085 9.9262 11.3451 Nd
3.6964 7.6297 9.2078 Nd
6.1740 11.9674 14.2260 Nd
5.7101 5.2160 7.6176 Nd
11.0399 17.5668 21.4775 Nd
7.7724 16.6776 17.9535 Nd
2.4426 4.3268 4.0937 Nd
5.0564 10.8974 8.3504 Nd
5.8860 13.0779 10.7696 Nd
8.4261 10.9962 17.2208 Nd
7.5965 8.8157 14.8015 Nd
4.6089 8.4660 13.0299 Sm
8.8736 13.4276 12.5413 Sm
3.9077 7.3402 5.5700 Y
6.7698 15.5528 14.6164 Y
9.5748 14.5534 20.0012 Y
6.7128 6.3407 10.9547 Y


What should be chosen as the least stable of them? Choose run A.